# 1
# PmPrAgTe

A relaxed PmPrAgTe crystal (PBE-GGA, Alexandria).

Results
The value obtained for the density of states at the Fermi level is 5.3 states/eV per cell. As for the energy relative to the elements, uncorrected: -0.6440 eV/atom. For the magnetic moment, the calculation gives 0.159 μB per atom. For the energy, the calculation gives -4.52 eV per atom.

a b c (Å): 5.3921 5.3921 5.3921
angles (deg): 60.00 60.00 60.00
Last column: nearest neighbours and their distance in Å.
Positions (direct):
Pr1 0.0000 0.0000 0.0000  4 Ag 3.30, 4 Te 3.30
Te1 0.7500 0.7500 0.7500  4 Pm 3.30, 4 Pr 3.30
Ag1 0.2500 0.2500 0.2500  4 Pr 3.30, 4 Pm 3.30
Pm1 0.5000 0.5000 0.5000  4 Te 3.30, 4 Ag 3.30


# 2
# CaHfP2O

A relaxed CaHfP2O crystal (PBE-GGA, Alexandria).

Results
The value obtained for the density of states at the Fermi level is 4.4 states/eV per cell. As for the energy relative to the elements, uncorrected: 0.2447 eV/atom. For the magnetic moment, the calculation gives 0.022 μB per atom. For the energy, the calculation gives -5.30 eV per atom.

a b c (Å): 5.0002 5.0002 4.0172
angles (deg): 90.00 90.00 90.00
Last column: nearest neighbours and their distance in Å.
Positions (direct):
P1 0.0000 0.5000 0.0000  2 Ca 2.50
P2 0.5000 0.0000 0.0000  2 Ca 2.50
Ca1 0.0000 0.0000 0.0000  2 O 2.01
Hf1 0.5000 0.5000 0.5000  8 P 3.21, 4 O 3.54
O1 0.0000 0.0000 0.5000  2 Ca 2.01


# 3
# TaReSe

A relaxed TaReSe crystal (PBE-GGA, Alexandria).

Results
The value obtained for the density of states at the Fermi level is 1.7 states/eV per cell. As for the energy relative to the elements, uncorrected: 0.1696 eV/atom. For the magnetic moment, the calculation gives 0.000 μB per atom. For the energy, the calculation gives -9.09 eV per atom.

a b c (Å): 3.2094 3.2094 6.2584
angles (deg): 90.00 90.00 120.00
Last column: nearest neighbours and their distance in Å.
Positions (direct):
Re1 0.0000 0.0000 0.9620  3 Ta 2.57
Se1 0.3333 0.6667 0.3608  3 Ta 2.71
Ta1 0.6667 0.3333 0.6772  3 Re 2.57, 3 Se 2.71


# 4
# CeU2Tl2Se6

A relaxed CeU2Tl2Se6 crystal (PBE-GGA, Alexandria).

Results
The value obtained for the density of states at the Fermi level is 15.8 states/eV per cell. As for the energy relative to the elements, uncorrected: -1.1297 eV/atom. For the magnetic moment, the calculation gives 0.545 μB per atom. For the energy, the calculation gives -6.05 eV per atom.

a b c (Å): 7.2973 7.2973 8.1944
angles (deg): 98.37 98.37 120.19
Last column: nearest neighbours and their distance in Å.
Positions (direct):
Ce1 0.0000 0.0000 0.5000  6 Se 2.96-2.97
U1 0.3341 0.6659 0.5000  6 Se 2.87-2.88
U2 0.6659 0.3341 0.5000  6 Se 2.87-2.88
Tl1 0.8348 0.1652 0.0000  6 Se 3.33-3.38
Tl2 0.1652 0.8348 0.0000  6 Se 3.33-3.38
Se1 0.7247 0.7247 0.7035  2 U 2.88, 1 Ce 2.96
Se2 0.0646 0.4089 0.7028  2 U 2.87-2.88, 1 Ce 2.97
Se3 0.2753 0.2753 0.2965  2 U 2.88, 1 Ce 2.96
Se4 0.4089 0.0646 0.7028  2 U 2.87-2.88, 1 Ce 2.97
Se5 0.9354 0.5911 0.2972  2 U 2.87-2.88, 1 Ce 2.97
Se6 0.5911 0.9354 0.2972  2 U 2.87-2.88, 1 Ce 2.97


Question: Among the records above, which one has the lowest energy?
Answer: TaReSe


Question: Among the records above, which one has the highest energy relative to the elements, uncorrected?
Answer: CaHfP2O


Question: Look up the magnetic moment of the third one.
Answer: 0.000 μB per atom